# AuSeBr (GGA-PBEsol, relaxed)
# ρ   8.766 g/cm³
# Crystal system   trigonal
# E_form (uncorrected)   6.93 kJ/mol of atoms
data_AuSeBr
_space_group_name_H-M_alt 'P 3 m 1'
_space_group_IT_number 156
_space_group_name_Hall 'P 3 -2"'
_cell_length_a 3.9111
_cell_length_b 3.9111
_cell_length_c 5.0883
_cell_angle_alpha 90.00
_cell_angle_beta 90.00
_cell_angle_gamma 120.00
loop_
_atom_site_label
_atom_site_fract_x
_atom_site_fract_y
_atom_site_fract_z
Au1 0.0000 0.0000 0.0000
Se1 0.6667 0.3333 0.2406
Br1 0.3333 0.6667 0.6738